Entry 1:
This record from Alexandria describes Be2InSb2 after structural relaxation. The functional is PBE.

Unit cell a=8.1190 b=8.1190 c=8.1190 alpha=152.74 beta=152.74 gamma=38.94
Atoms (fractional coordinates):
Be (0.2500, 0.7500, 0.5000)
Be (0.7500, 0.2500, 0.5000)
In (0.0000, 0.0000, 0.0000)
Sb (0.3568, 0.3568, 0.0000)
Sb (0.6432, 0.6432, 0.0000)

Calculated values
Mass density = 5.57 g/cm3
DFT total energy = -3.5077 eV/atom
SG = No. 139
Energy relative to the elements, uncorrected = 179 meV/atom

Entry 2:
This record from Alexandria describes K2GaCoGe after structural relaxation. The functional is PBE.

Unit cell a=6.0907 b=6.0907 c=4.5801 alpha=90.00 beta=90.00 gamma=90.00
Atoms (fractional coordinates):
K (0.0000, 0.5000, 0.0000)
K (0.5000, 0.0000, 0.0000)
Ga (0.0000, 0.0000, 0.5000)
Co (0.0000, 0.0000, 0.0000)
Ge (0.5000, 0.5000, 0.5000)

Calculated values
Energy of formation from the pure elements = 0.68 eV per atom
Mass density = 2.73 g/cm3
DFT total energy = -2.7064 eV/atom
SG = No. 123

> Look up the DFT total energy of the second one.

-2.7064 eV/atom